Density functional theory data (PBE) for crystalline YTlFeAu at its relaxed geometry.

a b c (Å): 6.915 6.915 6.915
angles (deg): 90.00 90.00 90.00
Element x y z (fractional)
Y 0.000 0.000 0.000
Y 0.000 0.500 0.500
Y 0.500 0.000 0.500
Y 0.500 0.500 0.000
Tl 0.000 0.000 0.500
Tl 0.000 0.500 0.000
Tl 0.500 0.000 0.000
Tl 0.500 0.500 0.500
Fe 0.250 0.250 0.750
Fe 0.250 0.750 0.250
Fe 0.750 0.250 0.250
Fe 0.750 0.750 0.750
Au 0.250 0.250 0.250
Au 0.250 0.750 0.750
Au 0.750 0.250 0.750
Au 0.750 0.750 0.250

Values from the calculation:
polymorph energy (0 for the lowest one) = 28 meV/atom
uncorrected energy = -5.133 eV per atom